Here is a relaxed structure of CoSn2Pd2 from Alexandria via LeMat-Bulk. Energies are from PBE.

Calculated values
Its uncorrected energy is -5.116 eV/atom. The calculation puts the distance to the lowest polymorph of the same formula at 40 meV per atom. The value obtained for the magnetic moment is 0.30 μB/atom. As for the energy of formation from the pure elements: -16 meV/atom. As for the calculated volume: 91.4 Å³/f.u. As for the density of states at the Fermi level: 1.5177 states/eV/atom. As for the space group: P4/mbm, No. 127. The crystal system is tetragonal.

Cell lengths 7.1974, 7.1974, 3.5271 Å; angles 90.00, 90.00, 90.00 degrees
Sites, in units of the cell vectors:
Co  0.0000  0.0000  0.0000
Co  0.5000  0.5000  0.0000
Sn  0.1675  0.3325  0.5000
Sn  0.3325  0.8325  0.5000
Sn  0.6675  0.1675  0.5000
Sn  0.8325  0.6675  0.5000
Pd  0.1368  0.6368  0.0000
Pd  0.3632  0.1368  0.0000
Pd  0.6368  0.8632  0.0000
Pd  0.8632  0.3632  0.0000

***

Here is a relaxed structure of La6P2Br3Cl from Alexandria via LeMat-Bulk. Energies are from PBE.

Calculated values
Its uncorrected energy is -5.473 eV/atom. The value obtained for the magnetic moment is 0.00 μB/atom. As for the calculated volume: 338.4 Å³/f.u. As for the density of states at the Fermi level: 0.6748 states/eV/atom. As for the space group: C2/m, No. 12. The crystal system is monoclinic.

Cell lengths 7.2428, 7.2428, 7.8343 Å; angles 98.87, 98.87, 120.05 degrees
Sites, in units of the cell vectors:
La  0.0889  0.4293  0.7870
La  0.2309  0.2309  0.2131
La  0.4293  0.0889  0.7870
La  0.5707  0.9111  0.2130
La  0.7691  0.7691  0.7869
La  0.9111  0.5707  0.2130
P  0.1664  0.8336  0.0000
P  0.8336  0.1664  0.0000
Br  0.0000  0.0000  0.5000
Br  0.3317  0.6683  0.5000
Br  0.6683  0.3317  0.5000
Cl  0.5000  0.5000  0.0000

***

Copy entry 1 word for word.
Here is a relaxed structure of CoSn2Pd2 from Alexandria via LeMat-Bulk. Energies are from PBE.

Calculated values
Its uncorrected energy is -5.116 eV/atom. The calculation puts the distance to the lowest polymorph of the same formula at 40 meV per atom. The value obtained for the magnetic moment is 0.30 μB/atom. As for the energy of formation from the pure elements: -16 meV/atom. As for the calculated volume: 91.4 Å³/f.u. As for the density of states at the Fermi level: 1.5177 states/eV/atom. As for the space group: P4/mbm, No. 127. The crystal system is tetragonal.

Cell lengths 7.1974, 7.1974, 3.5271 Å; angles 90.00, 90.00, 90.00 degrees
Sites, in units of the cell vectors:
Co  0.0000  0.0000  0.0000
Co  0.5000  0.5000  0.0000
Sn  0.1675  0.3325  0.5000
Sn  0.3325  0.8325  0.5000
Sn  0.6675  0.1675  0.5000
Sn  0.8325  0.6675  0.5000
Pd  0.1368  0.6368  0.0000
Pd  0.3632  0.1368  0.0000
Pd  0.6368  0.8632  0.0000
Pd  0.8632  0.3632  0.0000